Computed, not measured: an optimized crystal structure of Li2ZnGeBr6 at the GGA-PBE level of DFT.

Structure (CIF):
```
data_Li2ZnGeBr6
_space_group_name_H-M_alt 'P 1'
_space_group_IT_number 1
_cell_length_a 7.047
_cell_length_b 7.073
_cell_length_c 7.095
_cell_angle_alpha 98.37
_cell_angle_beta 102.09
_cell_angle_gamma 119.50
loop_
_space_group_symop_operation_xyz
'x,y,z'
loop_
_atom_site_label
_atom_site_type_symbol
_atom_site_fract_x
_atom_site_fract_y
_atom_site_fract_z
Li1 Li 0.000 0.000 0.000
Li2 Li 0.466 0.838 0.347
Zn1 Zn 0.265 0.258 0.681
Ge1 Ge 0.817 0.455 0.312
Br1 Br 0.052 0.689 0.096
Br2 Br 0.238 0.560 0.570
Br3 Br 0.382 0.382 0.059
Br4 Br 0.551 0.212 0.586
Br5 Br 0.704 0.055 0.115
Br6 Br 0.892 0.906 0.607
```

Calculated values
The calculation puts the density of states at the Fermi level at 0.00 states/eV/f.u. For the total energy, the calculation gives -2.998 eV per atom.

Computed, not measured: an optimized crystal structure of Pm4Te2AsIr at the GGA-PBE level of DFT.

Structure (CIF):
```
data_Pm4Te2AsIr
_space_group_name_H-M_alt 'P 1 2/m 1'
_space_group_IT_number 10
_cell_length_a 7.499
_cell_length_b 4.271
_cell_length_c 7.709
_cell_angle_alpha 90.00
_cell_angle_beta 108.44
_cell_angle_gamma 90.00
loop_
_space_group_symop_operation_xyz
'x,y,z'
'-x,-y,-z'
'-x,y,-z'
'x,-y,z'
loop_
_atom_site_label
_atom_site_type_symbol
_atom_site_fract_x
_atom_site_fract_y
_atom_site_fract_z
Pm1 Pm 0.229 0.000 0.212
Pm2 Pm 0.251 0.500 0.784
Te1 Te 0.000 0.000 0.500
Te2 Te 0.500 0.500 0.500
As1 As 0.500 0.000 0.000
Ir1 Ir 0.000 0.500 0.000
```

Calculated values
The calculation puts the density of states at the Fermi level at 6.15 states/eV/f.u. For the total energy, the calculation gives -6.108 eV per atom.

Computed, not measured: an optimized crystal structure of HfV2Re at the GGA-PBE level of DFT.

Structure (CIF):
```
data_HfV2Re
_space_group_name_H-M_alt 'C m c m'
_space_group_IT_number 63
_space_group_name_Hall '-C 2c 2'
_cell_length_a 3.105
_cell_length_b 18.844
_cell_length_c 4.528
_cell_angle_alpha 90.00
_cell_angle_beta 90.00
_cell_angle_gamma 90.00
loop_
_atom_site_label
_atom_site_type_symbol
_atom_site_fract_x
_atom_site_fract_y
_atom_site_fract_z
Hf1 Hf 0.000 0.118 0.250
V1 V 0.000 0.249 0.750
V2 V 0.000 0.483 0.250
Re1 Re 0.000 0.353 0.250
```

Calculated values
The calculation puts the formation enthalpy at 0 K at 10 kJ per mole of atoms. The calculation puts the density of states at the Fermi level at 4.14 states/eV/f.u.

Computed, not measured: an optimized crystal structure of K2Ge4PdPt3 at the GGA-PBE level of DFT.

Structure (CIF):
```
data_K2Ge4PdPt3
_space_group_name_H-M_alt 'P -4 m 2'
_space_group_IT_number 115
_cell_length_a 4.502
_cell_length_b 4.502
_cell_length_c 10.099
_cell_angle_alpha 90.00
_cell_angle_beta 90.00
_cell_angle_gamma 90.00
loop_
_space_group_symop_operation_xyz
'x,y,z'
'y,-x,-z'
'-x,-y,z'
'-y,x,-z'
'-x,y,z'
'-y,-x,-z'
'x,-y,z'
'y,x,-z'
loop_
_atom_site_label
_atom_site_type_symbol
_atom_site_fract_x
_atom_site_fract_y
_atom_site_fract_z
K1 K 0.000 0.500 0.250
Ge1 Ge 0.000 0.000 0.000
Ge2 Ge 0.000 0.500 0.620
Ge3 Ge 0.500 0.500 0.000
Pd1 Pd 0.000 0.000 0.500
Pt1 Pt 0.000 0.500 0.875
Pt2 Pt 0.500 0.500 0.500
```

Calculated values
The calculation puts the formation enthalpy at 0 K at -42 kJ per mole of atoms. The calculation puts the density of states at the Fermi level at 6.56 states/eV/f.u.

Computed, not measured: an optimized crystal structure of Sm7Tm2In2 at the GGA-PBE level of DFT.

Structure (CIF):
```
data_Sm7Tm2In2
_space_group_name_H-M_alt 'C m m m'
_space_group_IT_number 65
_space_group_name_Hall '-C 2 2'
_cell_length_a 6.690
_cell_length_b 11.827
_cell_length_c 9.329
_cell_angle_alpha 90.00
_cell_angle_beta 90.00
_cell_angle_gamma 90.00
loop_
_atom_site_label
_atom_site_type_symbol
_atom_site_fract_x
_atom_site_fract_y
_atom_site_fract_z
Sm1 Sm 0.000 0.000 0.000
Sm2 Sm 0.000 0.500 0.186
Sm3 Sm 0.250 0.250 0.300
Tm1 Tm 0.244 0.000 0.500
In1 In 0.000 0.271 0.000
```

Calculated values
The calculation puts the formation enthalpy at 0 K at 13 kJ per mole of atoms. The calculation puts the density of states at the Fermi level at 15.61 states/eV/f.u.

Computed, not measured: an optimized crystal structure of SmTm2Pt at the GGA-PBE level of DFT.

Structure (CIF):
```
data_SmTm2Pt
_space_group_name_H-M_alt 'P 4/m m m'
_space_group_IT_number 123
_space_group_name_Hall '-P 4 2'
_cell_length_a 3.519
_cell_length_b 3.519
_cell_length_c 8.530
_cell_angle_alpha 90.00
_cell_angle_beta 90.00
_cell_angle_gamma 90.00
loop_
_atom_site_label
_atom_site_type_symbol
_atom_site_fract_x
_atom_site_fract_y
_atom_site_fract_z
Sm1 Sm 0.000 0.000 0.000
Tm1 Tm 0.500 0.500 0.309
Pt1 Pt 0.000 0.000 0.500
```

Calculated values
The calculation puts the formation enthalpy at 0 K at -62 kJ per mole of atoms. The calculation puts the density of states at the Fermi level at 3.95 states/eV/f.u.

Computed, not measured: an optimized crystal structure of CaPmAl4 at the GGA-PBE level of DFT.

Structure (CIF):
```
data_CaPmAl4
_space_group_name_H-M_alt 'F -4 3 m'
_space_group_IT_number 216
_space_group_name_Hall 'F -4 2 3'
_cell_length_a 7.999
_cell_length_b 7.999
_cell_length_c 7.999
_cell_angle_alpha 90.00
_cell_angle_beta 90.00
_cell_angle_gamma 90.00
loop_
_atom_site_label
_atom_site_type_symbol
_atom_site_fract_x
_atom_site_fract_y
_atom_site_fract_z
Ca1 Ca 0.000 0.000 0.000
Pm1 Pm 0.250 0.250 0.250
Al1 Al 0.125 0.125 0.625
```

Calculated values
The calculation puts the formation enthalpy at 0 K at -39 kJ per mole of atoms. The calculation puts the density of states at the Fermi level at 4.11 states/eV/f.u.

Computed, not measured: an optimized crystal structure of La2Dy3Ho6 at the GGA-PBE level of DFT.

Structure (CIF):
```
data_La2Dy3Ho6
_space_group_name_H-M_alt 'C 1 2/m 1'
_space_group_IT_number 12
_cell_length_a 6.150
_cell_length_b 10.500
_cell_length_c 11.736
_cell_angle_alpha 90.00
_cell_angle_beta 98.68
_cell_angle_gamma 90.00
loop_
_space_group_symop_operation_xyz
'x,y,z'
'-x,-y,-z'
'-x,y,-z'
'x,-y,z'
'x+1/2,y+1/2,z'
'-x+1/2,-y+1/2,-z'
'-x+1/2,y+1/2,-z'
'x+1/2,-y+1/2,z'
loop_
_atom_site_label
_atom_site_type_symbol
_atom_site_fract_x
_atom_site_fract_y
_atom_site_fract_z
La1 La 0.000 0.175 0.000
Dy1 Dy 0.000 0.000 0.500
Dy2 Dy 0.000 0.335 0.500
Ho1 Ho 0.240 0.167 0.743
Ho2 Ho 0.240 0.500 0.747
```

Calculated values
The calculation puts the formation enthalpy at 0 K at 18 kJ per mole of atoms. The calculation puts the density of states at the Fermi level at 17.55 states/eV/f.u.